DFT (PBE) results for an optimized crystal structure of LiIn2BiH.

Total moment (μB/cell): 0.000
Space group: P4/mmm, No. 123
Electronic total energy (eV/atom): -2.92
DOS at the Fermi energy (states/eV/f.u.): 1.54
Crystal system: tetragonal

Lattice parameters (Å, degrees): 4.8654 4.8654 4.5972 90.00 90.00 90.00
Atoms (fractional coordinates):
Li  0.0000  0.0000  0.0000
In  0.0000  0.5000  0.5000
In  0.5000  0.0000  0.5000
Bi  0.5000  0.5000  0.0000
H  0.0000  0.0000  0.5000



DFT (PBE) results for an optimized crystal structure of NaIn2BiH.

Total moment (μB/cell): 0.000
Space group: P4/mmm, No. 123
Electronic total energy (eV/atom): -2.81
DOS at the Fermi energy (states/eV/f.u.): 1.53
Crystal system: tetragonal

Lattice parameters (Å, degrees): 4.9082 4.9082 4.7860 90.00 90.00 90.00
Atoms (fractional coordinates):
Na  0.0000  0.0000  0.0000
In  0.0000  0.5000  0.5000
In  0.5000  0.0000  0.5000
Bi  0.5000  0.5000  0.0000
H  0.0000  0.0000  0.5000



DFT (PBE) results for an optimized crystal structure of NaInBi2H.

Total moment (μB/cell): 0.000
Space group: P4/mmm, No. 123
Electronic total energy (eV/atom): -2.96
DOS at the Fermi energy (states/eV/f.u.): 2.30
Crystal system: tetragonal

Lattice parameters (Å, degrees): 4.8958 4.8958 5.1384 90.00 90.00 90.00
Atoms (fractional coordinates):
Na  0.0000  0.0000  0.0000
In  0.5000  0.5000  0.0000
Bi  0.0000  0.5000  0.5000
Bi  0.5000  0.0000  0.5000
H  0.0000  0.0000  0.5000



> What is the electronic total energy in the second record?

-2.81 eV/atom